A geometry-optimized Pm6SmPd3 structure. Source: Alexandria, functional PBE.

## Properties
- total magnetization (Bohr magnetons per cell) = 0.000
- uncorrected energy (eV/cell) = -106.4
- DOS at the Fermi energy (states/eV per cell) = 22.937

Unit cell a=8.9591 b=8.9591 c=7.3397 alpha=90.00 beta=90.00 gamma=97.30
Positions (direct):
Pm 0.0306 0.4205 0.3319
Pm 0.0370 0.9630 0.5000
Pm 0.2332 0.7668 0.1389
Pm 0.2871 0.3703 0.9875
Pm 0.3703 0.2871 0.4875
Pm 0.4205 0.0306 0.8319
Pm 0.5795 0.9694 0.3319
Pm 0.6297 0.7129 0.9875
Pm 0.7129 0.6297 0.4875
Pm 0.7668 0.2332 0.6389
Pm 0.9630 0.0370 0.0000
Pm 0.9694 0.5795 0.8319
Sm 0.3240 0.6760 0.6187
Sm 0.6760 0.3240 0.1187
Pd 0.0876 0.2784 0.6992
Pd 0.2784 0.0876 0.1992
Pd 0.4312 0.5688 0.2817
Pd 0.5688 0.4312 0.7817
Pd 0.7216 0.9124 0.6992
Pd 0.9124 0.7216 0.1992